No. 1
The following is a PBE calculation of crystalline MnSbCl4 at its relaxed geometry, from the Alexandria database.

Summary:
energy = -2.8246 eV/atom
raw formation energy = 3.73 eV per formula unit

a b c (Å): 5.8567 5.8567 5.8567
angles (deg): 60.00 60.00 60.00
Closest atoms and distances in Å follow each position.
Atoms (fractional coordinates):
Mn1 0.7500 0.7500 0.7500  12 Cl 3.43, 4 Sb 3.59
Cl1 0.3757 0.3757 0.8730  6 Cl 2.91-2.94
Cl2 0.3757 0.3757 0.3757  6 Cl 2.91-2.94
Cl3 0.3757 0.8730 0.3757  6 Cl 2.91-2.94
Cl4 0.8730 0.3757 0.3757  6 Cl 2.91-2.94
Sb1 0.0000 0.0000 0.0000  12 Cl 3.44, 4 Mn 3.59

---

No. 2
The following is a PBE calculation of crystalline YLuGa2 at its relaxed geometry, from the Alexandria database.

Summary:
excess energy over the best structure of this formula in the dataset = 0.150 eV/atom
energy of formation from the pure elements = -0.43 eV per atom
energy = -4.6883 eV/atom

a b c (Å): 3.6026 3.6026 8.8962
angles (deg): 78.32 78.32 60.00
Closest atoms and distances in Å follow each position.
Atoms (fractional coordinates):
Lu1 0.0000 0.0000 0.0000  6 Ga 2.97
Y1 0.5000 0.5000 0.5000  6 Ga 3.03
Ga1 0.2514 0.2514 0.2457  3 Lu 2.97, 3 Y 3.03
Ga2 0.7486 0.7486 0.7543  3 Lu 2.97, 3 Y 3.03

---

No. 3
The following is a PBE calculation of crystalline RbAgClF at its relaxed geometry, from the Alexandria database.

Summary:
energy = -3.4294 eV/atom
raw formation energy = -6.18 eV per formula unit

a b c (Å): 4.3900 4.3900 13.0639
angles (deg): 90.00 90.00 120.00
Closest atoms and distances in Å follow each position.
Atoms (fractional coordinates):
Ag1 0.0000 0.0000 0.4875  1 F 2.31
Ag2 0.0000 0.0000 0.9875  1 F 2.31
Cl1 0.3333 0.6667 0.9280  3 Ag 2.65
Cl2 0.6667 0.3333 0.4280  3 Ag 2.65
F1 0.0000 0.0000 0.6640  1 Ag 2.31
F2 0.0000 0.0000 0.1640  1 Ag 2.31
Rb1 0.6667 0.3333 0.7328  3 F 2.69
Rb2 0.3333 0.6667 0.2328  3 F 2.69

---

What did the first record say?
The following is a PBE calculation of crystalline MnSbCl4 at its relaxed geometry, from the Alexandria database.

Summary:
energy = -2.8246 eV/atom
raw formation energy = 3.73 eV per formula unit

a b c (Å): 5.8567 5.8567 5.8567
angles (deg): 60.00 60.00 60.00
Closest atoms and distances in Å follow each position.
Atoms (fractional coordinates):
Mn1 0.7500 0.7500 0.7500  12 Cl 3.43, 4 Sb 3.59
Cl1 0.3757 0.3757 0.8730  6 Cl 2.91-2.94
Cl2 0.3757 0.3757 0.3757  6 Cl 2.91-2.94
Cl3 0.3757 0.8730 0.3757  6 Cl 2.91-2.94
Cl4 0.8730 0.3757 0.3757  6 Cl 2.91-2.94
Sb1 0.0000 0.0000 0.0000  12 Cl 3.44, 4 Mn 3.59

---

Repeat the second record exactly.
The following is a PBE calculation of crystalline YLuGa2 at its relaxed geometry, from the Alexandria database.

Summary:
excess energy over the best structure of this formula in the dataset = 0.150 eV/atom
energy of formation from the pure elements = -0.43 eV per atom
energy = -4.6883 eV/atom

a b c (Å): 3.6026 3.6026 8.8962
angles (deg): 78.32 78.32 60.00
Closest atoms and distances in Å follow each position.
Atoms (fractional coordinates):
Lu1 0.0000 0.0000 0.0000  6 Ga 2.97
Y1 0.5000 0.5000 0.5000  6 Ga 3.03
Ga1 0.2514 0.2514 0.2457  3 Lu 2.97, 3 Y 3.03
Ga2 0.7486 0.7486 0.7543  3 Lu 2.97, 3 Y 3.03

---

Question: Which of these has the lowest energy?
Answer: YLuGa2

---

Question: Which formula does entry 2 have?
Answer: YLuGa2